# 1
## Tm7Pd2Pt2 (GGA-PBE)

Data for a relaxed Tm7Pd2Pt2 crystal.

Cell and atoms, written as POSCAR:
```
Tm7Pd2Pt2
1.0
-1.8904 7.5674 4.7042
1.8904 -7.5674 4.7042
1.8904 7.5674 -4.7042
Tm Pd Pt
7 2 2
Cartesian
0.0000 0.0000 0.0000 Tm
1.8904 2.8972 -0.9343 Tm
1.8904 -1.8862 2.4612 Tm
1.8904 1.8862 2.4612 Tm
1.8904 5.8319 1.0369 Tm
0.0000 4.6702 3.7699 Tm
0.0000 1.7355 5.7412 Tm
0.0000 0.0000 3.4427 Pd
0.0000 7.5674 2.6069 Pd
0.0000 3.6312 1.0293 Pt
0.0000 11.5036 1.0293 Pt
```

## Properties
Space-group type = Imm2 (44)
Total magnetic moment = 0.00 μB/atom
Volume = 24.47 A^3/atom
E above lowest polymorph = 0 meV per atom



# 2
## Hf2CoCl (GGA-PBE)

Data for a relaxed Hf2CoCl crystal.

Cell and atoms, written as POSCAR:
```
Hf2CoCl
1.0
0.0000 3.2466 3.2466
3.2466 0.0000 3.2466
3.2466 3.2466 0.0000
Hf Co Cl
2 1 1
Cartesian
1.6233 1.6233 1.6233 Hf
4.8699 4.8699 4.8699 Hf
0.0000 0.0000 0.0000 Co
3.2466 3.2466 3.2466 Cl
```

## Properties
Formation energy from raw total energies = -0.02 eV/atom
Space-group type = Fm-3m (225)
Total magnetic moment = 0.00 μB/atom
Volume = 17.11 A^3/atom
E above lowest polymorph = 0 meV per atom



# 3
## SiIF2 (GGA-PBE)

Data for a relaxed SiIF2 crystal.

Cell and atoms, written as POSCAR:
```
SiIF2
1.0
0.0000 4.4330 4.4330
4.4330 0.0000 4.4330
4.4330 4.4330 0.0000
Si I F
2 2 4
Cartesian
1.1082 1.1082 1.1082 Si
7.7577 7.7577 7.7577 Si
3.3247 3.3247 3.3247 I
5.5412 5.5412 5.5412 I
0.0000 0.0000 0.0000 F
2.2165 2.2165 0.0000 F
2.2165 0.0000 2.2165 F
0.0000 2.2165 2.2165 F
```

## Properties
Formation energy from raw total energies = -1.16 eV/atom
Space-group type = Fd-3m (227)
Total magnetic moment = 0.00 μB/atom
Volume = 21.78 A^3/atom
E above lowest polymorph = 98 meV per atom



# 4
## DyTmZnRh (GGA-PBE)

Data for a relaxed DyTmZnRh crystal.

Cell and atoms, written as POSCAR:
```
DyTmZnRh
1.0
3.4657 0.0000 0.0000
0.0000 3.4657 0.0000
0.0000 0.0000 7.0198
Dy Tm Zn Rh
1 1 1 1
Cartesian
0.0000 0.0000 0.0000 Dy
0.0000 0.0000 3.2823 Tm
1.7329 1.7329 5.1098 Zn
1.7329 1.7329 1.6818 Rh
```

## Properties
Space-group type = P4mm (99)
Total magnetic moment = 0.00 μB/atom
Volume = 21.08 A^3/atom
E above lowest polymorph = 0 meV per atom



What did the fourth record say?
## DyTmZnRh (GGA-PBE)

Data for a relaxed DyTmZnRh crystal.

Cell and atoms, written as POSCAR:
```
DyTmZnRh
1.0
3.4657 0.0000 0.0000
0.0000 3.4657 0.0000
0.0000 0.0000 7.0198
Dy Tm Zn Rh
1 1 1 1
Cartesian
0.0000 0.0000 0.0000 Dy
0.0000 0.0000 3.2823 Tm
1.7329 1.7329 5.1098 Zn
1.7329 1.7329 1.6818 Rh
```

## Properties
Space-group type = P4mm (99)
Total magnetic moment = 0.00 μB/atom
Volume = 21.08 A^3/atom
E above lowest polymorph = 0 meV per atom



Which of these has the lowest volume?
Hf2CoCl



Which value of total magnetic moment does entry 1 give?
0.00 μB/atom